Here is a relaxed YTlZnCd crystal from Alexandria. Energies are from GGA-PBE.

Values from the calculation:
* total DFT energy (no corrections): -11.77 eV for the cell shown
* SG: F-43m, No. 216
* total magnetic moment: 0.0 Bohr magnetons per cell
* E_form: -0.188 eV/atom

a b c (Å): 5.087 5.087 5.087
angles (deg): 60.00 60.00 60.00
Atoms (fractional coordinates):
Y: 0.000 0.000 0.000
Tl: 0.250 0.250 0.250
Zn: 0.750 0.750 0.750
Cd: 0.500 0.500 0.500

Here is a relaxed Re3RhBr crystal from Alexandria. Energies are from GGA-PBE.

Values from the calculation:
* total DFT energy (no corrections): -33.55 eV for the cell shown
* SG: Pm-3m, No. 221
* relative energy among the computed polymorphs: 0.231 eV per atom
* total magnetic moment: 4.0 Bohr magnetons per cell
* uncorrected formation energy: 2564 meV/atom

a b c (Å): 4.781 4.781 4.781
angles (deg): 90.00 90.00 90.00
Atoms (fractional coordinates):
Re: 0.000 0.000 0.500
Re: 0.000 0.500 0.000
Re: 0.500 0.000 0.000
Rh: 0.000 0.000 0.000
Br: 0.500 0.500 0.500

Here is a relaxed TaGa2Ge crystal from Alexandria. Energies are from GGA-PBE.

Values from the calculation:
* total DFT energy (no corrections): -42.55 eV for the cell shown
* SG: I-42d, No. 122
* total magnetic moment: 0.0 Bohr magnetons per cell
* E_form: 0.312 eV/atom

a b c (Å): 5.865 5.865 5.865
angles (deg): 101.83 101.83 126.16
Atoms (fractional coordinates):
Ta: 0.000 0.000 0.000
Ta: 0.750 0.250 0.500
Ga: 0.134 0.625 0.009
Ga: 0.375 0.384 0.509
Ga: 0.616 0.125 0.991
Ga: 0.875 0.866 0.491
Ge: 0.250 0.750 0.500
Ge: 0.500 0.500 0.000

Here is a relaxed KSiH2O4 crystal from Alexandria. Energies are from GGA-PBE.

Values from the calculation:
* total DFT energy (no corrections): -45.38 eV for the cell shown
* SG: I222, No. 23
* total magnetic moment: 1.0 Bohr magnetons per cell

a b c (Å): 5.358 5.358 5.358
angles (deg): 135.87 102.98 93.30
Atoms (fractional coordinates):
K: 0.000 0.000 0.000
Si: 0.500 0.500 0.000
H: 0.350 0.850 0.500
H: 0.650 0.150 0.500
O: 0.245 0.101 0.627
O: 0.475 0.618 0.373
O: 0.525 0.899 0.143
O: 0.755 0.382 0.857

Here is a relaxed YRuPt2 crystal from Alexandria. Energies are from GGA-PBE.

Values from the calculation:
* total DFT energy (no corrections): -29.13 eV for the cell shown
* SG: C2/m, No. 12
* total magnetic moment: 0.0 Bohr magnetons per cell
* E_form: -0.327 eV/atom

a b c (Å): 5.074 5.074 4.782
angles (deg): 102.92 102.92 36.03
Atoms (fractional coordinates):
Y: 0.000 0.000 0.000
Ru: 0.500 0.500 0.500
Pt: 0.240 0.240 0.729
Pt: 0.760 0.760 0.271

Here is a relaxed Ti5Bi2Mo crystal from Alexandria. Energies are from GGA-PBE.

Values from the calculation:
* total DFT energy (no corrections): -111.22 eV for the cell shown
* SG: Cmcm, No. 63
* relative energy among the computed polymorphs: 0.405 eV per atom
* total magnetic moment: 1.7 Bohr magnetons per cell
* E_form: 0.307 eV/atom

a b c (Å): 6.964 6.964 12.064
angles (deg): 90.00 90.00 141.65
Atoms (fractional coordinates):
Ti: 0.108 0.892 0.622
Ti: 0.108 0.892 0.878
Ti: 0.305 0.695 0.014
Ti: 0.305 0.695 0.486
Ti: 0.331 0.669 0.250
Ti: 0.669 0.331 0.750
Ti: 0.695 0.305 0.514
Ti: 0.695 0.305 0.986
Ti: 0.892 0.108 0.122
Ti: 0.892 0.108 0.378
Bi: 0.108 0.892 0.118
Bi: 0.108 0.892 0.382
Bi: 0.892 0.108 0.618
Bi: 0.892 0.108 0.882
Mo: 0.261 0.739 0.750
Mo: 0.739 0.261 0.250

Here is a relaxed FeSb3Pb crystal from Alexandria. Energies are from GGA-PBE.

Values from the calculation:
* total DFT energy (no corrections): -16.95 eV for the cell shown
* SG: Pm-3m, No. 221
* relative energy among the computed polymorphs: 1.164 eV per atom
* total magnetic moment: 3.2 Bohr magnetons per cell
* uncorrected formation energy: 1518 meV/atom

a b c (Å): 5.742 5.742 5.742
angles (deg): 90.00 90.00 90.00
Atoms (fractional coordinates):
Fe: 0.000 0.000 0.000
Sb: 0.000 0.500 0.500
Sb: 0.500 0.000 0.500
Sb: 0.500 0.500 0.000
Pb: 0.500 0.500 0.500

Here is a relaxed UCo2Si2 crystal from Alexandria. Energies are from GGA-PBE.

Values from the calculation:
* total DFT energy (no corrections): -39.22 eV for the cell shown
* SG: I4/mmm, No. 139
* relative energy among the computed polymorphs: 0.028 eV per atom
* total magnetic moment: 2.1 Bohr magnetons per cell
* uncorrected formation energy: -574 meV/atom

a b c (Å): 5.544 5.544 5.544
angles (deg): 139.09 139.09 59.24
Atoms (fractional coordinates):
U: 0.000 0.000 0.000
Co: 0.250 0.750 0.500
Co: 0.750 0.250 0.500
Si: 0.375 0.375 0.000
Si: 0.625 0.625 0.000

Here is a relaxed NaTlFeI4 crystal from Alexandria. Energies are from GGA-PBE.

Values from the calculation:
* total DFT energy (no corrections): -22.18 eV for the cell shown
* SG: I-4, No. 82
* total magnetic moment: 4.0 Bohr magnetons per cell
* uncorrected formation energy: -547 meV/atom

a b c (Å): 8.122 8.122 8.122
angles (deg): 121.79 121.79 86.93
Atoms (fractional coordinates):
Na: 0.000 0.000 0.000
Tl: 0.500 0.500 0.000
Fe: 0.750 0.250 0.500
I: 0.049 0.583 0.904
I: 0.417 0.321 0.466
I: 0.679 0.144 0.096
I: 0.856 0.951 0.534

Here is a relaxed ErCd6Au12 crystal from Alexandria. Energies are from GGA-PBE.

Values from the calculation:
* total DFT energy (no corrections): -52.47 eV for the cell shown
* SG: R-3, No. 148
* total magnetic moment: 0.0 Bohr magnetons per cell
* E_form: -0.163 eV/atom

a b c (Å): 7.497 7.497 7.497
angles (deg): 101.73 101.73 101.73
Atoms (fractional coordinates):
Er: 0.000 0.000 0.000
Cd: 0.163 0.444 0.210
Cd: 0.210 0.163 0.444
Cd: 0.444 0.210 0.163
Cd: 0.556 0.790 0.837
Cd: 0.790 0.837 0.556
Cd: 0.837 0.556 0.790
Au: 0.016 0.235 0.734
Au: 0.183 0.565 0.619
Au: 0.235 0.734 0.016
Au: 0.266 0.984 0.765
Au: 0.381 0.817 0.435
Au: 0.435 0.381 0.817
Au: 0.565 0.619 0.183
Au: 0.619 0.183 0.565
Au: 0.734 0.016 0.235
Au: 0.765 0.266 0.984
Au: 0.817 0.435 0.381
Au: 0.984 0.765 0.266

Here is a relaxed TaS crystal from Alexandria. Energies are from GGA-PBE.

Values from the calculation:
* total DFT energy (no corrections): -16.02 eV for the cell shown
* SG: F-43m, No. 216
* total magnetic moment: 0.0 Bohr magnetons per cell
* uncorrected formation energy: -21 meV/atom

a b c (Å): 3.878 3.878 3.878
angles (deg): 60.00 60.00 60.00
Atoms (fractional coordinates):
Ta: 0.000 0.000 0.000
S: 0.250 0.250 0.250

Here is a relaxed CaAl2PO6 crystal from Alexandria. Energies are from GGA-PBE.

Values from the calculation:
* total DFT energy (no corrections): -140.80 eV for the cell shown
* SG: C2/c, No. 15
* total magnetic moment: 2.0 Bohr magnetons per cell
* uncorrected formation energy: -2575 meV/atom

a b c (Å): 7.021 7.021 5.993
angles (deg): 108.72 108.72 82.10
Atoms (fractional coordinates):
Ca: 0.131 0.869 0.750
Ca: 0.869 0.131 0.250
Al: 0.205 0.364 0.815
Al: 0.364 0.205 0.315
Al: 0.636 0.795 0.685
Al: 0.795 0.636 0.185
P: 0.236 0.764 0.250
P: 0.764 0.236 0.750
O: 0.027 0.778 0.316
O: 0.154 0.626 0.947
O: 0.222 0.973 0.184
O: 0.249 0.342 0.537
O: 0.342 0.249 0.037
O: 0.374 0.846 0.553
O: 0.626 0.154 0.447
O: 0.658 0.751 0.963
O: 0.751 0.658 0.463
O: 0.778 0.027 0.816
O: 0.846 0.374 0.053
O: 0.973 0.222 0.684

Here is a relaxed Sb2TePdRh crystal from Alexandria. Energies are from GGA-PBE.

Values from the calculation:
* total DFT energy (no corrections): -21.69 eV for the cell shown
* SG: P4/mmm, No. 123
* relative energy among the computed polymorphs: 0.000 eV per atom
* total magnetic moment: 0.0 Bohr magnetons per cell
* uncorrected formation energy: 448 meV/atom

a b c (Å): 4.997 4.997 5.425
angles (deg): 90.00 90.00 90.00
Atoms (fractional coordinates):
Sb: 0.000 0.500 0.000
Sb: 0.500 0.000 0.000
Te: 0.000 0.000 0.500
Pd: 0.500 0.500 0.500
Rh: 0.000 0.000 0.000

Here is a relaxed TbPr2Tl3Te6 crystal from Alexandria. Energies are from GGA-PBE.

Values from the calculation:
* total DFT energy (no corrections): -52.98 eV for the cell shown
* SG: C2/m, No. 12
* total magnetic moment: 0.0 Bohr magnetons per cell
* uncorrected formation energy: -1070 meV/atom

a b c (Å): 7.890 7.890 8.592
angles (deg): 98.81 98.81 119.99
Atoms (fractional coordinates):
Tb: 0.000 0.000 0.000
Pr: 0.334 0.666 0.000
Pr: 0.666 0.334 0.000
Tl: 0.169 0.831 0.500
Tl: 0.500 0.500 0.500
Tl: 0.831 0.169 0.500
Te: 0.073 0.398 0.219
Te: 0.251 0.251 0.779
Te: 0.398 0.073 0.219
Te: 0.602 0.927 0.781
Te: 0.749 0.749 0.221
Te: 0.927 0.602 0.781

Here is a relaxed TbSm15Er4 crystal from Alexandria. Energies are from GGA-PBE.

Values from the calculation:
* total DFT energy (no corrections): -93.37 eV for the cell shown
* SG: P4/mmm, No. 123
* total magnetic moment: 0.0 Bohr magnetons per cell
* E_form: 0.015 eV/atom

a b c (Å): 5.095 5.095 25.388
angles (deg): 90.00 90.00 90.00
Atoms (fractional coordinates):
Tb: 0.000 0.000 0.000
Sm: 0.000 0.500 0.101
Sm: 0.000 0.500 0.300
Sm: 0.000 0.500 0.500
Sm: 0.000 0.500 0.700
Sm: 0.000 0.500 0.899
Sm: 0.500 0.000 0.101
Sm: 0.500 0.000 0.300
Sm: 0.500 0.000 0.500
Sm: 0.500 0.000 0.700
Sm: 0.500 0.000 0.899
Sm: 0.500 0.500 0.000
Sm: 0.500 0.500 0.200
Sm: 0.500 0.500 0.400
Sm: 0.500 0.500 0.600
Sm: 0.500 0.500 0.800
Er: 0.000 0.000 0.200
Er: 0.000 0.000 0.400
Er: 0.000 0.000 0.600
Er: 0.000 0.000 0.800

Here is a relaxed K4Cd4Hg crystal from Alexandria. Energies are from GGA-PBE.

Values from the calculation:
* total DFT energy (no corrections): -17.90 eV for the cell shown
* SG: P4_2/n, No. 86
* total magnetic moment: 0.0 Bohr magnetons per cell
* E_form: -0.066 eV/atom

a b c (Å): 9.923 9.923 6.906
angles (deg): 90.00 90.00 90.00
Atoms (fractional coordinates):
K: 0.063 0.827 0.116
K: 0.173 0.563 0.616
K: 0.327 0.937 0.616
K: 0.437 0.673 0.116
K: 0.563 0.327 0.884
K: 0.673 0.063 0.384
K: 0.827 0.437 0.384
K: 0.937 0.173 0.884
Cd: 0.085 0.173 0.388
Cd: 0.173 0.415 0.112
Cd: 0.327 0.085 0.112
Cd: 0.415 0.327 0.388
Cd: 0.585 0.673 0.612
Cd: 0.673 0.915 0.888
Cd: 0.827 0.585 0.888
Cd: 0.915 0.827 0.612
Hg: 0.250 0.250 0.750
Hg: 0.750 0.750 0.250

Here is a relaxed Pr8HoEr6 crystal from Alexandria. Energies are from GGA-PBE.

Values from the calculation:
* total DFT energy (no corrections): -66.65 eV for the cell shown
* SG: P-3, No. 147
* total magnetic moment: 0.0 Bohr magnetons per cell
* E_form: 0.236 eV/atom

a b c (Å): 12.666 12.666 3.735
angles (deg): 90.00 90.00 120.00
Atoms (fractional coordinates):
Pr: 0.095 0.322 0.000
Pr: 0.227 0.905 0.000
Pr: 0.322 0.227 0.000
Pr: 0.333 0.667 0.002
Pr: 0.667 0.333 0.998
Pr: 0.678 0.773 0.000
Pr: 0.773 0.095 0.000
Pr: 0.905 0.678 0.000
Ho: 0.000 0.000 0.500
Er: 0.115 0.630 0.502
Er: 0.370 0.485 0.502
Er: 0.485 0.115 0.498
Er: 0.515 0.885 0.502
Er: 0.630 0.515 0.498
Er: 0.885 0.370 0.498

Here is a relaxed Si2NiMo2 crystal from Alexandria. Energies are from GGA-PBE.

Values from the calculation:
* total DFT energy (no corrections): -79.83 eV for the cell shown
* SG: P4/mbm, No. 127
* total magnetic moment: 0.0 Bohr magnetons per cell
* uncorrected formation energy: -325 meV/atom

a b c (Å): 6.008 6.008 3.752
angles (deg): 90.00 90.00 90.00
Atoms (fractional coordinates):
Si: 0.137 0.363 0.000
Si: 0.363 0.863 0.000
Si: 0.637 0.137 0.000
Si: 0.863 0.637 0.000
Ni: 0.000 0.000 0.000
Ni: 0.500 0.500 0.000
Mo: 0.174 0.674 0.500
Mo: 0.326 0.174 0.500
Mo: 0.674 0.826 0.500
Mo: 0.826 0.326 0.500

Here is a relaxed LiTe2IBr crystal from Alexandria. Energies are from GGA-PBE.

Values from the calculation:
* total DFT energy (no corrections): -10.73 eV for the cell shown
* SG: P4/mmm, No. 123
* relative energy among the computed polymorphs: 0.000 eV per atom
* total magnetic moment: 0.0 Bohr magnetons per cell
* uncorrected formation energy: 138 meV/atom

a b c (Å): 5.257 5.257 5.193
angles (deg): 90.00 90.00 90.00
Atoms (fractional coordinates):
Li: 0.000 0.000 0.000
Te: 0.000 0.500 0.000
Te: 0.500 0.000 0.000
I: 0.000 0.000 0.500
Br: 0.500 0.500 0.500

Here is a relaxed ErSc4Ni2 crystal from Alexandria. Energies are from GGA-PBE.

Values from the calculation:
* total DFT energy (no corrections): -85.95 eV for the cell shown
* SG: P2_1/m, No. 11
* total magnetic moment: 0.0 Bohr magnetons per cell
* E_form: -0.218 eV/atom

a b c (Å): 7.166 5.866 7.544
angles (deg): 90.00 112.46 90.00
Atoms (fractional coordinates):
Er: 0.151 0.250 0.021
Er: 0.849 0.750 0.979
Sc: 0.025 0.250 0.392
Sc: 0.257 0.750 0.351
Sc: 0.407 0.003 0.766
Sc: 0.407 0.497 0.766
Sc: 0.593 0.503 0.234
Sc: 0.593 0.997 0.234
Sc: 0.743 0.250 0.649
Sc: 0.975 0.750 0.608
Ni: 0.260 0.750 0.991
Ni: 0.383 0.250 0.424
Ni: 0.617 0.750 0.576
Ni: 0.740 0.250 0.009